First-principles (GGA-PBE) data for crystalline La2NdPu at its relaxed geometry, as listed in Alexandria via LeMat-Bulk.

Unit cell a=11.9742 b=11.9742 c=11.9742 alpha=17.58 beta=17.58 gamma=17.58
Last column: nearest neighbours and their distance in Å.
Fractional coordinates of all 4 atoms:
La1 0.0000 0.0000 0.0000  3 Pu 3.51, 6 La 3.66, 3 Nd 3.71
La2 0.1735 0.1735 0.1735  3 Pu 3.54, 6 La 3.66, 3 Nd 3.74
Nd1 0.4195 0.4195 0.4195  6 Nd 3.66, 6 La 3.71-3.74
Pu1 0.5873 0.5873 0.5873  6 La 3.51-3.54, 6 Pu 3.66

Values from the calculation:
- Volume: 137 Å³ per cell
- Total energy: -7.114 eV/atom
- Spin magnetization: 6.4 μB/f.u.
- Relative energy among the computed polymorphs: 15 meV/atom
- DFT formation energy: 0.1242 eV per atom

---

First-principles (GGA-PBE) data for crystalline La2NdPu at its relaxed geometry, as listed in Alexandria via LeMat-Bulk.

Unit cell a=3.6218 b=3.6218 c=10.3000 alpha=90.00 beta=90.00 gamma=90.00
Last column: nearest neighbours and their distance in Å.
Fractional coordinates of all 4 atoms:
La1 0.0000 0.0000 0.2372  4 Pu 3.54, 4 La 3.62, 4 Nd 3.73
La2 0.0000 0.0000 0.7628  4 Pu 3.54, 4 La 3.62, 4 Nd 3.73
Nd1 0.5000 0.5000 0.5000  4 Nd 3.62, 8 La 3.73
Pu1 0.5000 0.5000 0.0000  8 La 3.54, 4 Pu 3.62

Values from the calculation:
- Volume: 135 Å³ per cell
- Total energy: -7.129 eV/atom
- Spin magnetization: 6.3 μB/f.u.
- Relative energy among the computed polymorphs: 0 meV/atom
- DFT formation energy: 0.1094 eV per atom

---

First-principles (GGA-PBE) data for crystalline LaNdPu2 at its relaxed geometry, as listed in Alexandria via LeMat-Bulk.

Unit cell a=3.4969 b=3.4969 c=10.0673 alpha=90.00 beta=90.00 gamma=90.00
Last column: nearest neighbours and their distance in Å.
Fractional coordinates of all 4 atoms:
La1 0.0000 0.0000 0.0000  4 La 3.50, 8 Pu 3.52
Nd1 0.0000 0.0000 0.5000  4 Nd 3.50, 8 Pu 3.53
Pu1 0.5000 0.5000 0.2491  4 Pu 3.50, 4 La 3.52, 4 Nd 3.53
Pu2 0.5000 0.5000 0.7509  4 Pu 3.50, 4 La 3.52, 4 Nd 3.53

Values from the calculation:
- Volume: 123 Å³ per cell
- Total energy: -9.369 eV/atom
- Spin magnetization: 12.4 μB/f.u.
- Relative energy among the computed polymorphs: 0 meV/atom
- DFT formation energy: 0.2210 eV per atom

---

First-principles (GGA-PBE) data for crystalline LaNd2Pu at its relaxed geometry, as listed in Alexandria via LeMat-Bulk.

Unit cell a=3.6157 b=3.6157 c=10.3121 alpha=90.00 beta=90.00 gamma=90.00
Last column: nearest neighbours and their distance in Å.
Fractional coordinates of all 4 atoms:
La1 0.0000 0.0000 0.0000  4 La 3.62, 8 Nd 3.73
Nd1 0.5000 0.5000 0.2634  4 Pu 3.53, 4 Nd 3.62, 4 La 3.73
Nd2 0.5000 0.5000 0.7366  4 Pu 3.53, 4 Nd 3.62, 4 La 3.73
Pu1 0.0000 0.0000 0.5000  8 Nd 3.53, 4 Pu 3.62

Values from the calculation:
- Volume: 135 Å³ per cell
- Total energy: -7.077 eV/atom
- Spin magnetization: 6.3 μB/f.u.
- Relative energy among the computed polymorphs: 0 meV/atom
- DFT formation energy: 0.1216 eV per atom